VASP calculation (PBE+U) on Cd3CoO after structural relaxation.

Lattice parameters (Å, degrees): 4.5893 4.5893 4.5893 90.00 90.00 90.00
Last column: nearest neighbours and their distance in Å.
Sites, in units of the cell vectors:
Cd 0.0000 0.0000 0.5000  2 O 2.29
Cd 0.0000 0.5000 0.0000  2 O 2.29
Cd 0.5000 0.0000 0.0000  2 O 2.29
Co 0.5000 0.5000 0.5000  12 Cd 3.25
O 0.0000 0.0000 0.0000  6 Cd 2.29

Density of states at the Fermi level (states/eV/atom): 0.435
Spin magnetization (μB per atom): 0.324
Energy (eV per cell): -11.94
Space group: Pm-3m, No. 221
Distance to the lowest polymorph of the same formula (eV per atom): 0.0000
ρ (g cm⁻³): 7.1